Entry 1:
Below is an optimized crystal structure of BeHgSe2, with properties calculated at the PBE level.

Properties
Spin magnetization, μB/atom: 0.0000
Uncorrected formation energy, eV/atom: -0.23
E_tot, eV/atom: -2.983

abc: 6.8644 5.8112 5.8112
angles: 85.06 116.77 63.23
Sites, in units of the cell vectors:
Hg 0.2500 0.1413 0.6413
Hg 0.7500 0.8587 0.3587
Se 0.6673 0.4036 0.3501
Se 0.1673 0.1499 0.0964
Se 0.8327 0.8501 0.9036
Se 0.3327 0.5964 0.6499
Be 0.2500 0.7291 0.2291
Be 0.7500 0.2709 0.7709

=====

Entry 2:
Below is an optimized crystal structure of Be2HgSe, with properties calculated at the PBE level.

Properties
Spin magnetization, μB/atom: 0.0000
Uncorrected formation energy, eV/atom: 0.40
E_tot, eV/atom: -2.412

abc: 5.1210 5.1210 5.1210
angles: 143.02 101.32 90.28
Sites, in units of the cell vectors:
Hg 0.7500 0.2500 0.5000
Se 0.2500 0.7500 0.5000
Be 0.0282 0.0282 0.0000
Be 0.4718 0.4718 0.0000

=====

Entry 3:
Below is an optimized crystal structure of BeHgSe2, with properties calculated at the PBE level.

Properties
Spin magnetization, μB/atom: 0.0000
Uncorrected formation energy, eV/atom: 0.60
E_tot, eV/atom: -2.145

abc: 3.5312 4.7434 4.7434
angles: 90.00 90.00 90.00
Sites, in units of the cell vectors:
Se 0.0000 0.5000 0.5000
Se 0.0000 0.0000 0.0000
Be 0.5000 0.5000 0.0000
Hg 0.5000 0.0000 0.5000

=====

> The lowest uncorrected formation energy belongs to which entry?

number 1